## one
## CsO4 (GGA-PBE)

Data for an optimized crystal structure of CsO4.

Unit cell a=4.1164 b=10.1082 c=10.1082 alpha=90.00 beta=90.00 gamma=90.00
Sites, in units of the cell vectors:
O 0.5000 0.4013 0.9013
Cs 0.0000 0.1906 0.6906
O 0.5000 0.9013 0.5987
Cs 0.0000 0.3094 0.1906
O 0.8494 0.5000 0.5000
O 0.5000 0.5700 0.2313
Cs 0.0000 0.6906 0.8094
O 0.1506 0.5000 0.5000
O 0.5000 0.0700 0.2687
O 0.5000 0.7313 0.0700
O 0.5000 0.2687 0.9300
O 0.5000 0.2313 0.4300
O 0.5000 0.7687 0.5700
O 0.5000 0.0987 0.4013
O 0.5000 0.5987 0.0987
O 0.5000 0.4300 0.7687
O 0.5000 0.9300 0.7313
Cs 0.0000 0.8094 0.3094
O 0.1506 0.0000 0.0000
O 0.8494 0.0000 0.0000

## two
## CsO4 (GGA-PBE)

Data for an optimized crystal structure of CsO4.

Unit cell a=5.3140 b=5.3140 c=5.3140 alpha=90.00 beta=90.00 gamma=90.00
Sites, in units of the cell vectors:
Cs 0.5000 0.5000 0.5000
O 0.0000 0.5000 0.5000
O 0.5000 0.5000 0.0000
O 0.0000 0.0000 0.0000
O 0.5000 0.0000 0.5000

Which structure loses on stability? two does.

## one
## Cs4O (GGA-PBE)

Data for an optimized crystal structure of Cs4O.

Unit cell a=10.2943 b=10.2943 c=10.4113 alpha=104.08 beta=104.08 gamma=120.53
Sites, in units of the cell vectors:
Cs 0.1599 0.8355 0.3311
O 0.4806 0.9806 0.5000
Cs 0.0788 0.2544 0.1689
Cs 0.5044 0.8288 0.6689
Cs 0.6287 0.9560 0.3276
O 0.2306 0.2306 0.0000
Cs 0.6284 0.3011 0.6724
Cs 0.5511 0.3784 0.1724
Cs 0.0855 0.9099 0.8311
Cs 0.2060 0.3787 0.8276

## two
## Cs4O (GGA-PBE)

Data for an optimized crystal structure of Cs4O.

Unit cell a=3.9982 b=8.9972 c=8.9972 alpha=87.17 beta=77.16 gamma=77.16
Sites, in units of the cell vectors:
Cs 0.5090 0.1944 0.7877
O 0.0000 0.0000 0.0000
Cs 0.2966 0.2123 0.1944
Cs 0.7034 0.7877 0.8056
Cs 0.4910 0.8056 0.2123

Which structure loses on stability? two does.

## one
## CsP2OsO (GGA-PBE)

Data for an optimized crystal structure of CsP2OsO.

Unit cell a=4.5697 b=4.5697 c=4.8311 alpha=90.00 beta=90.00 gamma=90.00
Sites, in units of the cell vectors:
Cs 0.5000 0.5000 0.5000
O 0.0000 0.0000 0.5000
Os 0.0000 0.0000 0.0000
P 0.0000 0.5000 0.0000
P 0.5000 0.0000 0.0000

## two
## CsP2OsO (GGA-PBE)

Data for an optimized crystal structure of CsP2OsO.

Unit cell a=5.3397 b=5.3397 c=4.0580 alpha=90.00 beta=90.00 gamma=90.00
Sites, in units of the cell vectors:
P 0.5000 0.0000 0.0000
O 0.0000 0.0000 0.5000
P 0.0000 0.5000 0.0000
Cs 0.0000 0.0000 0.0000
Os 0.5000 0.5000 0.5000

Which structure loses on stability? two does.

## one
## CsP3O (GGA-PBE)

Data for an optimized crystal structure of CsP3O.

Unit cell a=4.6087 b=4.6087 c=4.6087 alpha=90.00 beta=90.00 gamma=90.00
Sites, in units of the cell vectors:
O 0.0000 0.0000 0.0000
P 0.0000 0.5000 0.0000
P 0.0000 0.0000 0.5000
P 0.5000 0.0000 0.0000
Cs 0.5000 0.5000 0.5000

## two
## CsP3O (GGA-PBE)

Data for an optimized crystal structure of CsP3O.

Unit cell a=6.0922 b=6.0922 c=6.0922 alpha=90.00 beta=90.00 gamma=90.00
Sites, in units of the cell vectors:
P 0.0000 0.0000 0.5000
P 0.5000 0.0000 0.0000
P 0.0000 0.5000 0.0000
O 0.5000 0.5000 0.5000
Cs 0.0000 0.0000 0.0000

Which structure loses on stability? two does.

## one
## CsPO4 (GGA-PBE)

Data for an optimized crystal structure of CsPO4.

Unit cell a=9.5655 b=9.5655 c=5.2969 alpha=90.00 beta=90.00 gamma=139.14
Sites, in units of the cell vectors:
Cs 0.0307 0.7289 0.5000
O 0.3633 0.6112 0.7750
O 0.2606 0.0245 0.0000
O 0.5448 0.0769 0.0000
O 0.6112 0.3633 0.7750
O 0.3633 0.6112 0.2250
P 0.2091 0.5077 0.0000
P 0.5077 0.2091 0.0000
O 0.6112 0.3633 0.2250
Cs 0.7289 0.0307 0.5000
O 0.0245 0.2606 0.0000
O 0.0769 0.5448 0.0000

## two
## CsPO4 (GGA-PBE)

Data for an optimized crystal structure of CsPO4.

Unit cell a=6.3561 b=5.3811 c=8.2326 alpha=69.08 beta=90.00 gamma=90.00
Sites, in units of the cell vectors:
O 0.7500 0.9138 0.4648
O 0.9375 0.1531 0.1713
O 0.4375 0.8469 0.8287
O 0.2500 0.0862 0.5352
P 0.2500 0.8485 0.7090
O 0.0625 0.8469 0.8287
O 0.5625 0.1531 0.1713
P 0.7500 0.1515 0.2910
O 0.2500 0.6123 0.6443
O 0.7500 0.3877 0.3557
Cs 0.7500 0.3498 0.7596
Cs 0.2500 0.6502 0.2404

Which structure loses on stability? one does.

## one
## CsPO (GGA-PBE)

Data for an optimized crystal structure of CsPO.

Unit cell a=3.8711 b=3.8711 c=5.5752 alpha=90.00 beta=90.00 gamma=90.00
Sites, in units of the cell vectors:
P 0.0000 0.0000 0.6629
O 0.0000 0.0000 0.3828
Cs 0.5000 0.5000 0.1543

## two
## CsPO (GGA-PBE)

Data for an optimized crystal structure of CsPO.

Unit cell a=3.2681 b=7.0768 c=11.7384 alpha=90.00 beta=90.00 gamma=90.00
Sites, in units of the cell vectors:
O 0.2500 0.2500 0.4146
P 0.7500 0.3849 0.9355
P 0.2500 0.8849 0.5645
Cs 0.2500 0.1098 0.1626
O 0.7500 0.7500 0.5854
O 0.2500 0.2500 0.9146
Cs 0.7500 0.6098 0.3374
Cs 0.2500 0.3902 0.6626
O 0.7500 0.7500 0.0854
Cs 0.7500 0.8902 0.8374
P 0.7500 0.1151 0.4355
P 0.2500 0.6151 0.0645

Which structure loses on stability? two does.